(1)
Here is ScPaMnNi after structural relaxation from Alexandria. Energies are from GGA-PBE.

Structure (POSCAR):
```
ScPaMnNi
1.0
0.000 3.254 3.254
3.254 0.000 3.254
3.254 3.254 0.000
Sc Pa Mn Ni
1 1 1 1
direct
0.000 0.000 0.000 Sc
0.500 0.500 0.500 Pa
0.750 0.750 0.750 Mn
0.250 0.250 0.250 Ni
```

Values from the calculation:
ΔE_f   -2.708 kcal/mol of atoms
Space group   No. 216



(2)
Here is Pa2MnSi3Ni12 after structural relaxation from Alexandria. Energies are from GGA-PBE.

Structure (POSCAR):
```
Pa2MnSi3Ni12
1.0
4.182 2.415 4.003
-4.182 2.415 4.003
0.000 -4.829 4.003
Pa Mn Si Ni
2 1 3 12
direct
0.165 0.165 0.165 Pa
0.835 0.835 0.835 Pa
0.500 0.500 0.500 Mn
0.000 0.500 0.500 Si
0.500 0.000 0.500 Si
0.500 0.500 0.000 Si
0.114 0.114 0.594 Ni
0.114 0.594 0.114 Ni
0.196 0.695 0.695 Ni
0.305 0.305 0.804 Ni
0.305 0.804 0.305 Ni
0.406 0.886 0.886 Ni
0.594 0.114 0.114 Ni
0.695 0.196 0.695 Ni
0.695 0.695 0.196 Ni
0.804 0.305 0.305 Ni
0.886 0.406 0.886 Ni
0.886 0.886 0.406 Ni
```

Values from the calculation:
Space group   No. 166



(3)
Here is PaMnTcNi after structural relaxation from Alexandria. Energies are from GGA-PBE.

Structure (POSCAR):
```
PaMnTcNi
1.0
0.000 3.200 3.200
3.200 0.000 3.200
3.200 3.200 0.000
Pa Mn Tc Ni
1 1 1 1
direct
0.000 0.000 0.000 Pa
0.500 0.500 0.500 Mn
0.250 0.250 0.250 Tc
0.750 0.750 0.750 Ni
```

Values from the calculation:
ΔE_f   -0.472 kcal/mol of atoms
Space group   No. 216



(4)
Here is UPaMnNi after structural relaxation from Alexandria. Energies are from GGA-PBE.

Structure (POSCAR):
```
UPaMnNi
1.0
0.000 3.198 3.198
3.198 0.000 3.198
3.198 3.198 0.000
U Pa Mn Ni
1 1 1 1
direct
0.000 0.000 0.000 U
0.750 0.750 0.750 Pa
0.250 0.250 0.250 Mn
0.500 0.500 0.500 Ni
```

Values from the calculation:
ΔE_f   -2.291 kcal/mol of atoms
Space group   No. 216



(5)
Here is PaMnZnNi after structural relaxation from Alexandria. Energies are from GGA-PBE.

Structure (POSCAR):
```
PaMnZnNi
1.0
0.000 3.147 3.147
3.147 0.000 3.147
3.147 3.147 0.000
Pa Mn Zn Ni
1 1 1 1
direct
0.000 0.000 0.000 Pa
0.250 0.250 0.250 Mn
0.500 0.500 0.500 Zn
0.750 0.750 0.750 Ni
```

Values from the calculation:
ΔE_f   -0.465 kcal/mol of atoms
Space group   No. 216



(6)
Here is MnNiPb after structural relaxation from Alexandria. Energies are from GGA-PBE.

Structure (POSCAR):
```
MnNiPb
1.0
0.000 3.025 3.025
3.025 0.000 3.025
3.025 3.025 0.000
Mn Ni Pb
1 1 1
direct
0.000 0.000 0.000 Mn
0.250 0.250 0.250 Ni
0.500 0.500 0.500 Pb
```

Values from the calculation:
ΔE_f   5.020 kcal/mol of atoms
Space group   No. 216



(7)
Here is MnNi2Pb after structural relaxation from Alexandria. Energies are from GGA-PBE.

Structure (POSCAR):
```
MnNi2Pb
1.0
3.244 0.000 0.000
0.000 3.362 0.000
0.000 0.000 5.662
Mn Ni Pb
1 2 1
direct
0.000 0.000 0.000 Mn
0.000 0.000 0.420 Ni
0.500 0.500 0.182 Ni
0.500 0.500 0.671 Pb
```

Values from the calculation:
ΔE_f   5.973 kcal/mol of atoms
Space group   No. 25



(8)
Here is Mn2NiPb after structural relaxation from Alexandria. Energies are from GGA-PBE.

Structure (POSCAR):
```
Mn2NiPb
1.0
-1.851 1.851 9.103
1.851 -1.851 9.103
1.851 1.851 -9.103
Mn Ni Pb
4 2 2
direct
0.026 0.625 0.901 Mn
0.375 0.276 0.401 Mn
0.724 0.125 0.099 Mn
0.875 0.974 0.599 Mn
0.000 0.000 0.000 Ni
0.750 0.250 0.500 Ni
0.250 0.750 0.500 Pb
0.500 0.500 0.000 Pb
```

Values from the calculation:
ΔE_f   17.714 kcal/mol of atoms
Space group   No. 122



(9)
Here is MnNiPb2 after structural relaxation from Alexandria. Energies are from GGA-PBE.

Structure (POSCAR):
```
MnNiPb2
1.0
3.242 0.000 0.000
0.000 3.293 0.000
0.000 0.000 8.101
Mn Ni Pb
1 1 2
direct
0.000 0.000 0.000 Mn
0.500 0.500 0.132 Ni
0.000 0.000 0.363 Pb
0.500 0.500 0.759 Pb
```

Values from the calculation:
ΔE_f   4.292 kcal/mol of atoms
Space group   No. 25



(10)
Here is MnNiPb3 after structural relaxation from Alexandria. Energies are from GGA-PBE.

Structure (POSCAR):
```
MnNiPb3
1.0
5.142 0.000 0.000
0.000 5.142 0.000
0.000 0.000 5.142
Mn Ni Pb
1 1 3
direct
0.000 0.000 0.000 Mn
0.500 0.500 0.500 Ni
0.000 0.500 0.500 Pb
0.500 0.000 0.500 Pb
0.500 0.500 0.000 Pb
```

Values from the calculation:
ΔE_f   11.801 kcal/mol of atoms
Space group   No. 221



(11)
Here is MnNiPb2 after structural relaxation from Alexandria. Energies are from GGA-PBE.

Structure (POSCAR):
```
MnNiPb2
1.0
4.172 -1.723 0.000
4.172 1.723 0.000
-1.471 0.000 5.859
Mn Ni Pb
1 1 2
direct
0.000 0.000 0.000 Mn
0.500 0.500 0.500 Ni
0.239 0.239 0.731 Pb
0.761 0.761 0.269 Pb
```

Values from the calculation:
ΔE_f   9.848 kcal/mol of atoms
Space group   No. 12



(12)
Here is Mn2NiPb after structural relaxation from Alexandria. Energies are from GGA-PBE.

Structure (POSCAR):
```
Mn2NiPb
1.0
0.000 3.160 3.160
3.160 0.000 3.160
3.160 3.160 0.000
Mn Ni Pb
2 1 1
direct
0.000 0.000 0.000 Mn
0.250 0.250 0.250 Mn
0.500 0.500 0.500 Ni
0.750 0.750 0.750 Pb
```

Values from the calculation:
ΔE_f   9.446 kcal/mol of atoms
Space group   No. 216



Volume per entry: 68.9 242.5 65.6 65.4 62.3 55.4 61.8 62.4 86.5 136.0 84.2 63.1 Å³/f.u.
Fermi-level density of states per entry: 1.14 0.54 0.90 1.63 0.81 0.97 0.64 0.69 0.72 0.67 0.59 1.76 states/eV/atom
Total energy per entry: -7.812 -6.533 -8.724 -9.033 -6.450 -6.002 -5.851 -6.189 -5.406 -4.703 -5.165 -6.548 eV per atom